VASP calculation (PBE) on crystalline BeZnS2 at its relaxed geometry.

- ΔE to the lowest computed polymorph (meV per atom) = 42
- E_form (uncorrected) (meV/atom) = -880

Unit cell a=6.3544 b=6.3544 c=6.3544 alpha=33.37 beta=33.37 gamma=33.37
Closest atoms and distances in Å follow each position.
Sites, in units of the cell vectors:
Be: 0.0000 0.0000 0.0000  4 S 2.09-2.20
Zn: 0.5009 0.5009 0.5009  4 S 2.30-2.34
S: 0.1163 0.1163 0.1163  1 Be 2.09, 3 Zn 2.30
S: 0.6309 0.6309 0.6309  3 Be 2.20, 1 Zn 2.34